(1)
Density functional theory data (GGA-PBE) for an optimized crystal structure of LiMg2HgPd.

Cell: 5.016 4.726 5.016 Å, 90.00 90.00 90.00°
Fractional positions:
Mg  0.000  0.000  0.500
Mg  0.500  0.000  0.000
Hg  0.500  0.500  0.500
Pd  0.000  0.000  0.000
Li  0.000  0.500  0.000

Calculated values
* SG: P4/mmm
* calculated total energy: -11.35 eV/cell



(2)
Density functional theory data (GGA-PBE) for an optimized crystal structure of LiMgHgPd2.

Cell: 5.143 5.022 5.143 Å, 90.00 90.00 90.00°
Fractional positions:
Mg  0.000  0.500  0.000
Hg  0.000  0.000  0.000
Pd  0.000  0.000  0.500
Pd  0.500  0.000  0.000
Li  0.500  0.500  0.500

Calculated values
* SG: P4/mmm
* calculated total energy: -12.16 eV/cell



(3)
Density functional theory data (GGA-PBE) for an optimized crystal structure of LiPmMg2Hg4.

Cell: 4.882 4.882 9.099 Å, 74.44 74.44 60.00°
Fractional positions:
Li  0.500  0.500  0.500
Pm  0.000  0.000  0.000
Mg  0.755  0.755  0.734
Mg  0.245  0.245  0.266
Hg  0.387  0.387  0.839
Hg  0.870  0.870  0.390
Hg  0.130  0.130  0.610
Hg  0.613  0.613  0.161

Calculated values
* SG: R-3m
* calculated total energy: -14.05 eV/cell



(4)
Density functional theory data (GGA-PBE) for an optimized crystal structure of LiPm2MgHg4.

Cell: 5.135 5.135 8.880 Å, 73.19 73.19 60.00°
Fractional positions:
Li  0.500  0.500  0.500
Pm  0.749  0.749  0.753
Pm  0.251  0.251  0.247
Mg  0.000  0.000  0.000
Hg  0.377  0.377  0.868
Hg  0.873  0.873  0.380
Hg  0.127  0.127  0.620
Hg  0.623  0.623  0.132

Calculated values
* SG: R-3m
* calculated total energy: -18.02 eV/cell